DFT (PBE-GGA) results for CoPW2 after structural relaxation.

Formation enthalpy at 0 K: 0.10 eV/atom

a = 3.506 Å, b = 4.354 Å, c = 7.185 Å
α = 90.00°, β = 90.00°, γ = 90.00°
Element x y z (fractional)
Co: 0.000 0.000 0.000
Co: 0.500 0.500 0.000
P: 0.000 0.500 0.170
P: 0.500 0.000 0.170
W: 0.000 0.000 0.424
W: 0.000 0.500 0.724
W: 0.500 0.000 0.724
W: 0.500 0.500 0.424